(1)
DFT (PBE) results for crystalline Nd3Ho3Te2Pd at its relaxed geometry.

Values from the calculation:
Magnetic moment (Bohr magnetons per cell): 0.01

Geometry as CIF:
```
data_Nd3Ho3Te2Pd
_chemical_formula_sum 'Nd3 Ho3 Te2 Pd1'
_space_group_name_H-M_alt 'P -6 2 m'
_space_group_IT_number 189
_space_group_name_Hall 'P -6 -2'
_cell_length_a 8.5194
_cell_length_b 8.5194
_cell_length_c 4.0462
_cell_angle_alpha 90.00
_cell_angle_beta 90.00
_cell_angle_gamma 120.00
loop_
_atom_site_label
_atom_site_type_symbol
_atom_site_fract_x
_atom_site_fract_y
_atom_site_fract_z
Nd1 Nd 0.0000 0.4064 0.0000
Ho1 Ho 0.0000 0.7580 0.5000
Te1 Te 0.3333 0.6667 0.5000
Pd1 Pd 0.0000 0.0000 0.0000
```

(2)
DFT (PBE) results for crystalline Nd3Ho3Te2Pd at its relaxed geometry.

Values from the calculation:
Magnetic moment (Bohr magnetons per cell): 0.02

Geometry as CIF:
```
data_Nd3Ho3Te2Pd
_chemical_formula_sum 'Nd3 Ho3 Te2 Pd1'
_space_group_name_H-M_alt 'P -6 2 m'
_space_group_IT_number 189
_space_group_name_Hall 'P -6 -2'
_cell_length_a 8.6486
_cell_length_b 8.6486
_cell_length_c 3.9386
_cell_angle_alpha 90.00
_cell_angle_beta 90.00
_cell_angle_gamma 120.00
loop_
_atom_site_label
_atom_site_type_symbol
_atom_site_fract_x
_atom_site_fract_y
_atom_site_fract_z
Nd1 Nd 0.0000 0.7479 0.0000
Ho1 Ho 0.0000 0.4067 0.5000
Te1 Te 0.3333 0.6667 0.0000
Pd1 Pd 0.0000 0.0000 0.5000
```

Stability ranking, top entry: (1); the second entry is 11.2 kJ/mol of atoms less favorable.

(1)
DFT (PBE) results for crystalline Nd3Ho3Te2Pt at its relaxed geometry.

Values from the calculation:
Magnetic moment (Bohr magnetons per cell): 0.01

Geometry as CIF:
```
data_Nd3Ho3Te2Pt
_chemical_formula_sum 'Nd3 Ho3 Te2 Pt1'
_space_group_name_H-M_alt 'P -6 2 m'
_space_group_IT_number 189
_space_group_name_Hall 'P -6 -2'
_cell_length_a 8.6271
_cell_length_b 8.6271
_cell_length_c 3.9497
_cell_angle_alpha 90.00
_cell_angle_beta 90.00
_cell_angle_gamma 120.00
loop_
_atom_site_label
_atom_site_type_symbol
_atom_site_fract_x
_atom_site_fract_y
_atom_site_fract_z
Nd1 Nd 0.0000 0.7493 0.0000
Ho1 Ho 0.0000 0.4045 0.5000
Te1 Te 0.3333 0.6667 0.0000
Pt1 Pt 0.0000 0.0000 0.5000
```

(2)
DFT (PBE) results for crystalline Nd3Ho3Te2Pt at its relaxed geometry.

Values from the calculation:
Magnetic moment (Bohr magnetons per cell): 0.00

Geometry as CIF:
```
data_Nd3Ho3Te2Pt
_chemical_formula_sum 'Nd3 Ho3 Te2 Pt1'
_space_group_name_H-M_alt 'P -6 2 m'
_space_group_IT_number 189
_space_group_name_Hall 'P -6 -2'
_cell_length_a 8.4990
_cell_length_b 8.4990
_cell_length_c 4.0667
_cell_angle_alpha 90.00
_cell_angle_beta 90.00
_cell_angle_gamma 120.00
loop_
_atom_site_label
_atom_site_type_symbol
_atom_site_fract_x
_atom_site_fract_y
_atom_site_fract_z
Nd1 Nd 0.0000 0.4060 0.0000
Ho1 Ho 0.0000 0.7604 0.5000
Te1 Te 0.3333 0.6667 0.5000
Pt1 Pt 0.0000 0.0000 0.0000
```

Stability ranking, top entry: (2); the second entry is 12.4 kJ/mol of atoms less favorable.

(1)
DFT (PBE) results for crystalline NdHoZn2Sn2 at its relaxed geometry.

Values from the calculation:
Magnetic moment (Bohr magnetons per cell): 0.00

Geometry as CIF:
```
data_NdHoZn2Sn2
_chemical_formula_sum 'Nd2 Ho2 Zn4 Sn4'
_space_group_name_H-M_alt 'P 63/m m c'
_space_group_IT_number 194
_space_group_name_Hall '-P 6c 2c'
_cell_length_a 4.5513
_cell_length_b 4.5513
_cell_length_c 15.9652
_cell_angle_alpha 90.00
_cell_angle_beta 90.00
_cell_angle_gamma 120.00
loop_
_atom_site_label
_atom_site_type_symbol
_atom_site_fract_x
_atom_site_fract_y
_atom_site_fract_z
Nd1 Nd 0.0000 0.0000 0.2500
Ho1 Ho 0.0000 0.0000 0.0000
Zn1 Zn 0.3333 0.6667 0.1546
Sn1 Sn 0.3333 0.6667 0.6102
```

(2)
DFT (PBE) results for crystalline NdHoZn2Sn2 at its relaxed geometry.

Values from the calculation:
Magnetic moment (Bohr magnetons per cell): 0.00

Geometry as CIF:
```
data_NdHoZn2Sn2
_chemical_formula_sum 'Nd2 Ho2 Zn4 Sn4'
_space_group_name_H-M_alt 'P 63/m m c'
_space_group_IT_number 194
_space_group_name_Hall '-P 6c 2c'
_cell_length_a 4.5291
_cell_length_b 4.5291
_cell_length_c 16.1275
_cell_angle_alpha 90.00
_cell_angle_beta 90.00
_cell_angle_gamma 120.00
loop_
_atom_site_label
_atom_site_type_symbol
_atom_site_fract_x
_atom_site_fract_y
_atom_site_fract_z
Nd1 Nd 0.0000 0.0000 0.0000
Ho1 Ho 0.0000 0.0000 0.2500
Zn1 Zn 0.3333 0.6667 0.1620
Sn1 Sn 0.3333 0.6667 0.6180
```

Stability ranking, top entry: (2); the second entry is 2.1 kJ/mol of atoms less favorable.

(1)
DFT (PBE) results for crystalline NdHoTa at its relaxed geometry.

Values from the calculation:
Magnetic moment (Bohr magnetons per cell): 6.20

Geometry as CIF:
```
data_NdHoTa
_chemical_formula_sum 'Nd4 Ho4 Ta4'
_space_group_name_H-M_alt 'F -4 3 m'
_space_group_IT_number 216
_space_group_name_Hall 'F -4 2 3'
_cell_length_a 7.140
_cell_length_b 7.140
_cell_length_c 7.140
_cell_angle_alpha 90.00
_cell_angle_beta 90.00
_cell_angle_gamma 90.00
loop_
_atom_site_label
_atom_site_type_symbol
_atom_site_fract_x
_atom_site_fract_y
_atom_site_fract_z
Nd1 Nd 0.000 0.000 0.000
Ho1 Ho 0.250 0.250 0.250
Ta1 Ta 0.000 0.000 0.500
```

(2)
DFT (PBE) results for crystalline NdHoTa at its relaxed geometry.

Values from the calculation:
Magnetic moment (Bohr magnetons per cell): 0.04

Geometry as CIF:
```
data_NdHoTa
_chemical_formula_sum 'Nd3 Ho3 Ta3'
_space_group_name_H-M_alt 'P -6 m 2'
_space_group_IT_number 187
_space_group_name_Hall 'P -6 2'
_cell_length_a 5.2613
_cell_length_b 5.2613
_cell_length_c 10.0554
_cell_angle_alpha 90.00
_cell_angle_beta 90.00
_cell_angle_gamma 120.00
loop_
_atom_site_label
_atom_site_type_symbol
_atom_site_fract_x
_atom_site_fract_y
_atom_site_fract_z
Nd1 Nd 0.0000 0.0000 0.0000
Nd2 Nd 0.0000 0.0000 0.3335
Ho1 Ho 0.3333 0.6667 0.5000
Ho2 Ho 0.6667 0.3333 0.1759
Ta1 Ta 0.3333 0.6667 0.1401
Ta2 Ta 0.6667 0.3333 0.5000
```

Stability ranking, top entry: (2); the second entry is 82.1 kJ/mol of atoms less favorable.

(1)
DFT (PBE) results for crystalline NdHoTlTe3 at its relaxed geometry.

Values from the calculation:
Magnetic moment (Bohr magnetons per cell): 1.39

Geometry as CIF:
```
data_NdHoTlTe3
_chemical_formula_sum 'Nd4 Ho4 Tl4 Te12'
_space_group_name_H-M_alt 'C m c m'
_space_group_IT_number 63
_space_group_name_Hall '-C 2c 2'
_cell_length_a 4.416
_cell_length_b 15.350
_cell_length_c 12.181
_cell_angle_alpha 90.00
_cell_angle_beta 90.00
_cell_angle_gamma 90.00
loop_
_atom_site_label
_atom_site_type_symbol
_atom_site_fract_x
_atom_site_fract_y
_atom_site_fract_z
Nd1 Nd 0.000 0.077 0.250
Ho1 Ho 0.000 0.500 0.000
Tl1 Tl 0.000 0.237 0.750
Te1 Te 0.000 0.142 0.017
Te2 Te 0.000 0.437 0.250
```

(2)
DFT (PBE) results for crystalline NdHoTlTe3 at its relaxed geometry.

Values from the calculation:
Magnetic moment (Bohr magnetons per cell): 0.08

Geometry as CIF:
```
data_NdHoTlTe3
_chemical_formula_sum 'Nd4 Ho4 Tl4 Te12'
_space_group_name_H-M_alt 'C m c m'
_space_group_IT_number 63
_space_group_name_Hall '-C 2c 2'
_cell_length_a 4.553
_cell_length_b 15.447
_cell_length_c 12.241
_cell_angle_alpha 90.00
_cell_angle_beta 90.00
_cell_angle_gamma 90.00
loop_
_atom_site_label
_atom_site_type_symbol
_atom_site_fract_x
_atom_site_fract_y
_atom_site_fract_z
Nd1 Nd 0.000 0.000 0.000
Ho1 Ho 0.000 0.443 0.250
Tl1 Tl 0.000 0.254 0.750
Te1 Te 0.000 0.067 0.250
Te2 Te 0.000 0.355 0.039
```

Stability ranking, top entry: (2); the second entry is 3.2 kJ/mol of atoms less favorable.

(1)
DFT (PBE) results for crystalline NdHoTm at its relaxed geometry.

Values from the calculation:
Magnetic moment (Bohr magnetons per cell): 0.00

Geometry as CIF:
```
data_NdHoTm
_chemical_formula_sum 'Nd2 Ho2 Tm2'
_space_group_name_H-M_alt 'P 4/n m m'
_space_group_IT_number 129
_cell_length_a 4.823
_cell_length_b 4.823
_cell_length_c 8.613
_cell_angle_alpha 90.00
_cell_angle_beta 90.00
_cell_angle_gamma 90.00
loop_
_space_group_symop_operation_xyz
'x,y,z'
'-x,-y,-z'
'-y+1/2,x,z'
'y+1/2,-x,-z'
'-x+1/2,-y+1/2,z'
'x+1/2,y+1/2,-z'
'y,-x+1/2,z'
'-y,x+1/2,-z'
'x+1/2,-y,-z'
'-x+1/2,y,z'
'-y,-x,-z'
'y,x,z'
'-x,y+1/2,-z'
'x,-y+1/2,z'
'y+1/2,x+1/2,-z'
'-y+1/2,-x+1/2,z'
loop_
_atom_site_label
_atom_site_type_symbol
_atom_site_fract_x
_atom_site_fract_y
_atom_site_fract_z
Nd1 Nd 0.250 0.250 0.192
Ho1 Ho 0.250 0.750 0.500
Tm1 Tm 0.250 0.250 0.794
```

(2)
DFT (PBE) results for crystalline NdHoTm at its relaxed geometry.

Values from the calculation:
Magnetic moment (Bohr magnetons per cell): 0.07

Geometry as CIF:
```
data_NdHoTm
_chemical_formula_sum 'Nd4 Ho4 Tm4'
_space_group_name_H-M_alt 'F -4 3 m'
_space_group_IT_number 216
_space_group_name_Hall 'F -4 2 3'
_cell_length_a 7.672
_cell_length_b 7.672
_cell_length_c 7.672
_cell_angle_alpha 90.00
_cell_angle_beta 90.00
_cell_angle_gamma 90.00
loop_
_atom_site_label
_atom_site_type_symbol
_atom_site_fract_x
_atom_site_fract_y
_atom_site_fract_z
Nd1 Nd 0.000 0.000 0.000
Ho1 Ho 0.000 0.000 0.500
Tm1 Tm 0.250 0.250 0.750
```

Stability ranking, top entry: (1); the second entry is 47.6 kJ/mol of atoms less favorable.